No. 1
## Dy6HgRu2 (PBE)

Data for an optimized crystal structure of Dy6HgRu2.

Output
* energy of formation from the pure elements: -363 meV per atom
* Fermi-level density of states: 33.2 states/eV/cell
* total energy: -0.40618 Ry/atom

The structure in CIF format:
```
data_Dy6HgRu2
_chemical_formula_sum 'Dy24 Hg4 Ru8'
_symmetry_space_group_name_H-M 'I m m m'
_symmetry_Int_Tables_number 71
_symmetry_space_group_name_Hall '-I 2 2'
_cell_length_a 9.362
_cell_length_b 9.423
_cell_length_c 10.443
_cell_angle_alpha 90.00
_cell_angle_beta 90.00
_cell_angle_gamma 90.00
loop_
_atom_site_label
_atom_site_fract_x
_atom_site_fract_y
_atom_site_fract_z
Dy1 0.000 0.201 0.241
Dy2 0.187 0.500 0.170
Dy3 0.215 0.318 0.500
Hg1 0.000 0.000 0.000
Hg2 0.000 0.000 0.500
Ru1 0.000 0.325 0.000
Ru2 0.000 0.500 0.373
```

No. 2
## Dy8HgRu2 (PBE)

Data for an optimized crystal structure of Dy8HgRu2.

Output
* energy of formation from the pure elements: -261 meV per atom
* Fermi-level density of states: 16.1 states/eV/cell
* total energy: -0.39112 Ry/atom

The structure in CIF format:
```
data_Dy8HgRu2
_chemical_formula_sum 'Dy16 Hg2 Ru4'
_symmetry_space_group_name_H-M 'I m m 2'
_symmetry_Int_Tables_number 44
_symmetry_space_group_name_Hall 'I 2 -2'
_cell_length_a 5.252
_cell_length_b 15.913
_cell_length_c 6.893
_cell_angle_alpha 90.00
_cell_angle_beta 90.00
_cell_angle_gamma 90.00
loop_
_atom_site_label
_atom_site_fract_x
_atom_site_fract_y
_atom_site_fract_z
Dy1 0.000 0.000 0.000
Dy2 0.000 0.110 0.459
Dy3 0.000 0.288 0.134
Dy4 0.000 0.336 0.596
Dy5 0.000 0.500 0.218
Hg1 0.000 0.500 0.794
Ru1 0.000 0.171 0.826
```

No. 3
## Dy2HgRu (PBE)

Data for an optimized crystal structure of Dy2HgRu.

Output
* energy of formation from the pure elements: -264 meV per atom
* Fermi-level density of states: 11.8 states/eV/cell
* total energy: -0.36451 Ry/atom

The structure in CIF format:
```
data_Dy2HgRu
_chemical_formula_sum 'Dy6 Hg3 Ru3'
_symmetry_space_group_name_H-M 'R -3 m'
_symmetry_Int_Tables_number 166
_symmetry_space_group_name_Hall '-R 3 2"'
_cell_length_a 3.7424
_cell_length_b 3.7424
_cell_length_c 24.8137
_cell_angle_alpha 90.00
_cell_angle_beta 90.00
_cell_angle_gamma 120.00
loop_
_atom_site_label
_atom_site_fract_x
_atom_site_fract_y
_atom_site_fract_z
Dy1 0.0000 0.0000 0.2361
Hg1 0.0000 0.0000 0.0000
Ru1 0.0000 0.0000 0.5000
```

No. 4
## Dy2HgRu (PBE)

Data for an optimized crystal structure of Dy2HgRu.

Output
* energy of formation from the pure elements: -361 meV per atom
* Fermi-level density of states: 16.6 states/eV/cell
* total energy: -0.37163 Ry/atom

The structure in CIF format:
```
data_Dy2HgRu
_chemical_formula_sum 'Dy8 Hg4 Ru4'
_symmetry_space_group_name_H-M 'F m -3 m'
_symmetry_Int_Tables_number 225
_symmetry_space_group_name_Hall '-F 4 2 3'
_cell_length_a 7.109
_cell_length_b 7.109
_cell_length_c 7.109
_cell_angle_alpha 90.00
_cell_angle_beta 90.00
_cell_angle_gamma 90.00
loop_
_atom_site_label
_atom_site_fract_x
_atom_site_fract_y
_atom_site_fract_z
Dy1 0.250 0.250 0.250
Hg1 0.000 0.000 0.000
Ru1 0.000 0.000 0.500
```

No. 5
## DyThHgRu (PBE)

Data for an optimized crystal structure of DyThHgRu.

Output
* energy of formation from the pure elements: -284 meV per atom
* Fermi-level density of states: 13.7 states/eV/cell
* total energy: -0.41776 Ry/atom

The structure in CIF format:
```
data_DyThHgRu
_chemical_formula_sum 'Dy4 Th4 Hg4 Ru4'
_symmetry_space_group_name_H-M 'F -4 3 m'
_symmetry_Int_Tables_number 216
_symmetry_space_group_name_Hall 'F -4 2 3'
_cell_length_a 7.269
_cell_length_b 7.269
_cell_length_c 7.269
_cell_angle_alpha 90.00
_cell_angle_beta 90.00
_cell_angle_gamma 90.00
loop_
_atom_site_label
_atom_site_fract_x
_atom_site_fract_y
_atom_site_fract_z
Dy1 0.000 0.000 0.000
Th1 0.000 0.000 0.500
Hg1 0.250 0.250 0.750
Ru1 0.250 0.250 0.250
```

No. 6
## DyYHgRu (PBE)

Data for an optimized crystal structure of DyYHgRu.

Output
* energy of formation from the pure elements: -477 meV per atom
* Fermi-level density of states: 2.6 states/eV/cell
* total energy: -0.41440 Ry/atom

The structure in CIF format:
```
data_DyYHgRu
_chemical_formula_sum 'Dy1 Y1 Hg1 Ru1'
_symmetry_space_group_name_H-M 'P 4 m m'
_symmetry_Int_Tables_number 99
_symmetry_space_group_name_Hall 'P 4 -2'
_cell_length_a 3.486
_cell_length_b 3.486
_cell_length_c 7.503
_cell_angle_alpha 90.00
_cell_angle_beta 90.00
_cell_angle_gamma 90.00
loop_
_atom_site_label
_atom_site_fract_x
_atom_site_fract_y
_atom_site_fract_z
Dy1 0.000 0.000 0.000
Y1 0.000 0.000 0.442
Hg1 0.500 0.500 0.721
Ru1 0.500 0.500 0.218
```

No. 7
## DyYHgRu (PBE)

Data for an optimized crystal structure of DyYHgRu.

Output
* energy of formation from the pure elements: -359 meV per atom
* Fermi-level density of states: 17.1 states/eV/cell
* total energy: -0.40573 Ry/atom

The structure in CIF format:
```
data_DyYHgRu
_chemical_formula_sum 'Dy4 Y4 Hg4 Ru4'
_symmetry_space_group_name_H-M 'F -4 3 m'
_symmetry_Int_Tables_number 216
_symmetry_space_group_name_Hall 'F -4 2 3'
_cell_length_a 7.120
_cell_length_b 7.120
_cell_length_c 7.120
_cell_angle_alpha 90.00
_cell_angle_beta 90.00
_cell_angle_gamma 90.00
loop_
_atom_site_label
_atom_site_fract_x
_atom_site_fract_y
_atom_site_fract_z
Dy1 0.000 0.000 0.000
Y1 0.000 0.000 0.500
Hg1 0.250 0.250 0.250
Ru1 0.250 0.250 0.750
```

No. 8
## Dy2Zn5HgRu2 (PBE)

Data for an optimized crystal structure of Dy2Zn5HgRu2.

Output
* energy of formation from the pure elements: -173 meV per atom
* Fermi-level density of states: 12.9 states/eV/cell
* total energy: -0.26575 Ry/atom

The structure in CIF format:
```
data_Dy2Zn5HgRu2
_chemical_formula_sum 'Dy4 Zn10 Hg2 Ru4'
_symmetry_space_group_name_H-M 'P 4/m b m'
_symmetry_Int_Tables_number 127
_symmetry_space_group_name_Hall '-P 4 2ab'
_cell_length_a 9.460
_cell_length_b 9.460
_cell_length_c 4.162
_cell_angle_alpha 90.00
_cell_angle_beta 90.00
_cell_angle_gamma 90.00
loop_
_atom_site_label
_atom_site_fract_x
_atom_site_fract_y
_atom_site_fract_z
Dy1 0.176 0.324 0.000
Zn1 0.000 0.500 0.500
Zn2 0.065 0.785 0.500
Hg1 0.000 0.000 0.000
Ru1 0.119 0.619 0.000
```

No. 9
## Dy6HgS5 (PBE)

Data for an optimized crystal structure of Dy6HgS5.

Output
* E_form (uncorrected): -1707.8 meV per atom
* Fermi-level density of states: 8.0 states/eV/cell
* total energy: -0.42290 Ry/atom

The structure in CIF format:
```
data_Dy6HgS5
_chemical_formula_sum 'Dy12 Hg2 S10'
_symmetry_space_group_name_H-M 'C 1 2/m 1'
_symmetry_Int_Tables_number 12
_symmetry_space_group_name_Hall '-C 2y'
_cell_length_a 6.900
_cell_length_b 11.913
_cell_length_c 6.871
_cell_angle_alpha 90.00
_cell_angle_beta 109.38
_cell_angle_gamma 90.00
loop_
_atom_site_label
_atom_site_fract_x
_atom_site_fract_y
_atom_site_fract_z
Dy1 0.239 0.000 0.255
Dy2 0.241 0.173 0.743
Hg1 0.000 0.500 0.000
S1 0.000 0.000 0.500
S2 0.000 0.166 0.000
S3 0.000 0.336 0.500
```

No. 10
## Dy6Hg2S3 (PBE)

Data for an optimized crystal structure of Dy6Hg2S3.

Output
* E_form (uncorrected): -1178.3 meV per atom
* Fermi-level density of states: 12.2 states/eV/cell
* total energy: -0.35787 Ry/atom

The structure in CIF format:
```
data_Dy6Hg2S3
_chemical_formula_sum 'Dy12 Hg4 S6'
_symmetry_space_group_name_H-M 'C 1 2/m 1'
_symmetry_Int_Tables_number 12
_symmetry_space_group_name_Hall '-C 2y'
_cell_length_a 6.706
_cell_length_b 11.614
_cell_length_c 7.599
_cell_angle_alpha 90.00
_cell_angle_beta 107.67
_cell_angle_gamma 90.00
loop_
_atom_site_label
_atom_site_fract_x
_atom_site_fract_y
_atom_site_fract_z
Dy1 0.232 0.000 0.213
Dy2 0.249 0.337 0.225
Hg1 0.000 0.340 0.500
S1 0.000 0.173 0.000
S2 0.000 0.500 0.000
```

No. 11
## DyHgS2 (PBE)

Data for an optimized crystal structure of DyHgS2.

Output
* E_form (uncorrected): -1154.1 meV per atom
* Fermi-level density of states: 8.1 states/eV/cell
* total energy: -0.32662 Ry/atom

The structure in CIF format:
```
data_DyHgS2
_chemical_formula_sum 'Dy3 Hg3 S6'
_symmetry_space_group_name_H-M 'R -3 m'
_symmetry_Int_Tables_number 166
_symmetry_space_group_name_Hall '-R 3 2"'
_cell_length_a 4.0091
_cell_length_b 4.0091
_cell_length_c 24.5504
_cell_angle_alpha 90.00
_cell_angle_beta 90.00
_cell_angle_gamma 120.00
loop_
_atom_site_label
_atom_site_fract_x
_atom_site_fract_y
_atom_site_fract_z
Dy1 0.0000 0.0000 0.0000
Hg1 0.0000 0.0000 0.5000
S1 0.0000 0.0000 0.3930
```

No. 12
## Dy4HgS2 (PBE)

Data for an optimized crystal structure of Dy4HgS2.

Output
* E_form (uncorrected): -1313.5 meV per atom
* Fermi-level density of states: 19.2 states/eV/cell
* total energy: -0.37967 Ry/atom

The structure in CIF format:
```
data_Dy4HgS2
_chemical_formula_sum 'Dy16 Hg4 S8'
_symmetry_space_group_name_H-M 'C m c m'
_symmetry_Int_Tables_number 63
_symmetry_space_group_name_Hall '-C 2c 2'
_cell_length_a 3.958
_cell_length_b 12.874
_cell_length_c 13.608
_cell_angle_alpha 90.00
_cell_angle_beta 90.00
_cell_angle_gamma 90.00
loop_
_atom_site_label
_atom_site_fract_x
_atom_site_fract_y
_atom_site_fract_z
Dy1 0.000 0.000 0.000
Dy2 0.000 0.268 0.117
Dy3 0.000 0.433 0.750
Hg1 0.000 0.112 0.750
S1 0.000 0.365 0.559
```

What did the sixth record say?
## DyYHgRu (PBE)

Data for an optimized crystal structure of DyYHgRu.

Output
* energy of formation from the pure elements: -477 meV per atom
* Fermi-level density of states: 2.6 states/eV/cell
* total energy: -0.41440 Ry/atom

The structure in CIF format:
```
data_DyYHgRu
_chemical_formula_sum 'Dy1 Y1 Hg1 Ru1'
_symmetry_space_group_name_H-M 'P 4 m m'
_symmetry_Int_Tables_number 99
_symmetry_space_group_name_Hall 'P 4 -2'
_cell_length_a 3.486
_cell_length_b 3.486
_cell_length_c 7.503
_cell_angle_alpha 90.00
_cell_angle_beta 90.00
_cell_angle_gamma 90.00
loop_
_atom_site_label
_atom_site_fract_x
_atom_site_fract_y
_atom_site_fract_z
Dy1 0.000 0.000 0.000
Y1 0.000 0.000 0.442
Hg1 0.500 0.500 0.721
Ru1 0.500 0.500 0.218
```

- The lowest total energy belongs to which entry?
  Dy6HgS5

- Look up the Fermi-level density of states of the sixth one.
  2.6 states/eV/cell

Please write out number 9 again, unchanged.
## Dy6HgS5 (PBE)

Data for an optimized crystal structure of Dy6HgS5.

Output
* E_form (uncorrected): -1707.8 meV per atom
* Fermi-level density of states: 8.0 states/eV/cell
* total energy: -0.42290 Ry/atom

The structure in CIF format:
```
data_Dy6HgS5
_chemical_formula_sum 'Dy12 Hg2 S10'
_symmetry_space_group_name_H-M 'C 1 2/m 1'
_symmetry_Int_Tables_number 12
_symmetry_space_group_name_Hall '-C 2y'
_cell_length_a 6.900
_cell_length_b 11.913
_cell_length_c 6.871
_cell_angle_alpha 90.00
_cell_angle_beta 109.38
_cell_angle_gamma 90.00
loop_
_atom_site_label
_atom_site_fract_x
_atom_site_fract_y
_atom_site_fract_z
Dy1 0.239 0.000 0.255
Dy2 0.241 0.173 0.743
Hg1 0.000 0.500 0.000
S1 0.000 0.000 0.500
S2 0.000 0.166 0.000
S3 0.000 0.336 0.500
```